The following is a DFT calculation (GGA-PBE) of LaTb8In2 after structural relaxation.

Lattice parameters (Å, degrees): 18.988 6.888 5.343 90.00 92.88 90.00
Space group C2/m (No. 12)
Symmetry-distinct sites (fractional):
La1 0.000 0.000 0.000
Tb1 0.045 0.500 0.240
Tb2 0.137 0.264 0.728
Tb3 0.199 0.000 0.234
In1 0.211 0.500 0.245

## Properties
DFT formation energy in meV/atom: -64
Energy in eV/atom: -4.3771
M_tot in μB per cell: 0.00
Density of states at the Fermi level in states/eV per cell: 29.528